# 1
# LiCaHfHg2 | Alexandria | GGA-PBEsol | optimized geometry
# Formation energy from the elements (eV per formula unit): 2.18
# E_tot (eV per cell): -13.6
data_LiCaHfHg2
_chemical_formula_sum 'Li1 Ca1 Hf1 Hg2'
_symmetry_space_group_name_H-M 'P 4/m m m'
_symmetry_Int_Tables_number 123
_symmetry_space_group_name_Hall '-P 4 2'
_cell_length_a 5.330
_cell_length_b 5.330
_cell_length_c 5.214
_cell_angle_alpha 90.00
_cell_angle_beta 90.00
_cell_angle_gamma 90.00
loop_
_atom_site_label
_atom_site_type_symbol
_atom_site_fract_x
_atom_site_fract_y
_atom_site_fract_z
Li1 Li 0.000 0.000 0.000
Ca1 Ca 0.500 0.500 0.000
Hf1 Hf 0.000 0.000 0.500
Hg1 Hg 0.000 0.500 0.500


# 2
# CrAgBr2 | Alexandria | GGA-PBEsol | optimized geometry
# Polymorph energy (0 for the lowest one) (eV/atom): 0.0759
# Energy relative to the elements, uncorrected (meV/atom): 100
# E_tot (eV per cell): -16.9
data_CrAgBr2
_chemical_formula_sum 'Cr1 Ag1 Br2'
_symmetry_space_group_name_H-M 'P m m m'
_symmetry_Int_Tables_number 47
_symmetry_space_group_name_Hall '-P 2 2'
_cell_length_a 3.701
_cell_length_b 3.997
_cell_length_c 6.069
_cell_angle_alpha 90.00
_cell_angle_beta 90.00
_cell_angle_gamma 90.00
loop_
_atom_site_label
_atom_site_type_symbol
_atom_site_fract_x
_atom_site_fract_y
_atom_site_fract_z
Cr1 Cr 0.000 0.000 0.000
Ag1 Ag 0.000 0.500 0.500
Br1 Br 0.500 0.000 0.500
Br2 Br 0.500 0.500 0.000


# 3
# Rb2TlCd2 | Alexandria | GGA-PBEsol | optimized geometry
# Formation energy from the elements (eV per formula unit): 0.18
# E_tot (eV per cell): -13.8
data_Rb2TlCd2
_chemical_formula_sum 'Rb4 Tl2 Cd4'
_symmetry_space_group_name_H-M 'P 4/m b m'
_symmetry_Int_Tables_number 127
_symmetry_space_group_name_Hall '-P 4 2ab'
_cell_length_a 7.843
_cell_length_b 7.843
_cell_length_c 5.880
_cell_angle_alpha 90.00
_cell_angle_beta 90.00
_cell_angle_gamma 90.00
loop_
_atom_site_label
_atom_site_type_symbol
_atom_site_fract_x
_atom_site_fract_y
_atom_site_fract_z
Rb1 Rb 0.179 0.321 0.000
Tl1 Tl 0.000 0.000 0.500
Cd1 Cd 0.132 0.632 0.500


# 4
# ErAgS2 | Alexandria | GGA-PBEsol | optimized geometry
# Energy relative to the elements, uncorrected (meV/atom): -1341
# E_tot (eV per cell): -179.0
data_ErAgS2
_chemical_formula_sum 'Er8 Ag8 S16'
_symmetry_space_group_name_H-M 'P 1 21 1'
_symmetry_Int_Tables_number 4
_symmetry_space_group_name_Hall 'P 2yb'
_cell_length_a 7.462
_cell_length_b 7.479
_cell_length_c 12.217
_cell_angle_alpha 90.00
_cell_angle_beta 90.02
_cell_angle_gamma 90.00
loop_
_atom_site_label
_atom_site_type_symbol
_atom_site_fract_x
_atom_site_fract_y
_atom_site_fract_z
Er1 Er 0.001 0.000 0.246
Er2 Er 0.248 0.252 0.504
Er3 Er 0.252 0.744 0.004
Er4 Er 0.499 0.996 0.746
Ag1 Ag 0.003 0.513 0.322
Ag2 Ag 0.216 0.278 0.070
Ag3 Ag 0.285 0.717 0.570
Ag4 Ag 0.494 0.478 0.822
S1 S 0.022 0.523 0.534
S2 S 0.023 0.019 0.024
S3 S 0.222 0.276 0.283
S4 S 0.232 0.230 0.726
S5 S 0.268 0.766 0.225
S6 S 0.278 0.720 0.783
S7 S 0.477 0.977 0.524
S8 S 0.478 0.472 0.034


# 5
# Zr2OsCl | Alexandria | GGA-PBEsol | optimized geometry
# Polymorph energy (0 for the lowest one) (eV/atom): 0.1164
# Energy relative to the elements, uncorrected (meV/atom): -353
# E_tot (eV per cell): -67.6
data_Zr2OsCl
_chemical_formula_sum 'Zr4 Os2 Cl2'
_symmetry_space_group_name_H-M 'C 1 2/m 1'
_symmetry_Int_Tables_number 12
_symmetry_space_group_name_Hall '-C 2y'
_cell_length_a 6.718
_cell_length_b 7.243
_cell_length_c 3.018
_cell_angle_alpha 90.00
_cell_angle_beta 104.36
_cell_angle_gamma 90.00
loop_
_atom_site_label
_atom_site_type_symbol
_atom_site_fract_x
_atom_site_fract_y
_atom_site_fract_z
Zr1 Zr 0.250 0.250 0.000
Os1 Os 0.000 0.000 0.500
Cl1 Cl 0.000 0.500 0.500


# 6
# BeAs2AuBr | Alexandria | GGA-PBEsol | optimized geometry
# Energy relative to the elements, uncorrected (meV/atom): 577
# E_tot (eV per cell): -17.1
data_BeAs2AuBr
_chemical_formula_sum 'Be1 As2 Au1 Br1'
_symmetry_space_group_name_H-M 'P 4/m m m'
_symmetry_Int_Tables_number 123
_symmetry_space_group_name_Hall '-P 4 2'
_cell_length_a 4.520
_cell_length_b 4.520
_cell_length_c 4.570
_cell_angle_alpha 90.00
_cell_angle_beta 90.00
_cell_angle_gamma 90.00
loop_
_atom_site_label
_atom_site_type_symbol
_atom_site_fract_x
_atom_site_fract_y
_atom_site_fract_z
Be1 Be 0.000 0.000 0.000
As1 As 0.000 0.500 0.000
Au1 Au 0.500 0.500 0.500
Br1 Br 0.000 0.000 0.500


# 7
# GeSb3Pt | Alexandria | GGA-PBEsol | optimized geometry
# Energy relative to the elements, uncorrected (meV/atom): 545
# E_tot (eV per cell): -22.9
data_GeSb3Pt
_chemical_formula_sum 'Ge1 Sb3 Pt1'
_symmetry_space_group_name_H-M 'P m -3 m'
_symmetry_Int_Tables_number 221
_symmetry_space_group_name_Hall '-P 4 2 3'
_cell_length_a 5.193
_cell_length_b 5.193
_cell_length_c 5.193
_cell_angle_alpha 90.00
_cell_angle_beta 90.00
_cell_angle_gamma 90.00
loop_
_atom_site_label
_atom_site_type_symbol
_atom_site_fract_x
_atom_site_fract_y
_atom_site_fract_z
Ge1 Ge 0.000 0.000 0.000
Sb1 Sb 0.000 0.500 0.500
Pt1 Pt 0.500 0.500 0.500


# 8
# ScCo4Au | Alexandria | GGA-PBEsol | optimized geometry
# Formation energy from the elements (eV per formula unit): -1.26
# E_tot (eV per cell): -170.9
data_ScCo4Au
_chemical_formula_sum 'Sc4 Co16 Au4'
_symmetry_space_group_name_H-M 'F -4 3 m'
_symmetry_Int_Tables_number 216
_symmetry_space_group_name_Hall 'F -4 2 3'
_cell_length_a 6.741
_cell_length_b 6.741
_cell_length_c 6.741
_cell_angle_alpha 90.00
_cell_angle_beta 90.00
_cell_angle_gamma 90.00
loop_
_atom_site_label
_atom_site_type_symbol
_atom_site_fract_x
_atom_site_fract_y
_atom_site_fract_z
Sc1 Sc 0.000 0.000 0.000
Co1 Co 0.124 0.124 0.624
Au1 Au 0.250 0.250 0.250


# 9
# Ba3BiN | Alexandria | GGA-PBEsol | optimized geometry
# Energy relative to the elements, uncorrected (meV/atom): -787
# E_tot (eV per cell): -23.2
data_Ba3BiN
_chemical_formula_sum 'Ba3 Bi1 N1'
_symmetry_space_group_name_H-M 'P m -3 m'
_symmetry_Int_Tables_number 221
_symmetry_space_group_name_Hall '-P 4 2 3'
_cell_length_a 5.516
_cell_length_b 5.516
_cell_length_c 5.516
_cell_angle_alpha 90.00
_cell_angle_beta 90.00
_cell_angle_gamma 90.00
loop_
_atom_site_label
_atom_site_type_symbol
_atom_site_fract_x
_atom_site_fract_y
_atom_site_fract_z
Ba1 Ba 0.000 0.000 0.500
Bi1 Bi 0.500 0.500 0.500
N1 N 0.000 0.000 0.000


# 10
# AgPbSe2 | Alexandria | GGA-PBEsol | optimized geometry
# Energy relative to the elements, uncorrected (meV/atom): -33
# E_tot (eV per cell): -45.4
data_AgPbSe2
_chemical_formula_sum 'Ag3 Pb3 Se6'
_symmetry_space_group_name_H-M 'R -3 m'
_symmetry_Int_Tables_number 166
_symmetry_space_group_name_Hall '-R 3 2"'
_cell_length_a 4.2750
_cell_length_b 4.2750
_cell_length_c 23.6836
_cell_angle_alpha 90.00
_cell_angle_beta 90.00
_cell_angle_gamma 120.00
loop_
_atom_site_label
_atom_site_type_symbol
_atom_site_fract_x
_atom_site_fract_y
_atom_site_fract_z
Ag1 Ag 0.0000 0.0000 0.0000
Pb1 Pb 0.0000 0.0000 0.5000
Se1 Se 0.0000 0.0000 0.1017


# 11
# LiNi2Ru | Alexandria | GGA-PBEsol | optimized geometry
# Polymorph energy (0 for the lowest one) (eV/atom): 0.0049
# Formation energy from the elements (eV per formula unit): 0.24
# E_tot (eV per cell): -48.4
data_LiNi2Ru
_chemical_formula_sum 'Li2 Ni4 Ru2'
_symmetry_space_group_name_H-M 'C m m m'
_symmetry_Int_Tables_number 65
_symmetry_space_group_name_Hall '-C 2 2'
_cell_length_a 5.022
_cell_length_b 7.261
_cell_length_c 2.481
_cell_angle_alpha 90.00
_cell_angle_beta 90.00
_cell_angle_gamma 90.00
loop_
_atom_site_label
_atom_site_type_symbol
_atom_site_fract_x
_atom_site_fract_y
_atom_site_fract_z
Li1 Li 0.000 0.000 0.000
Ni1 Ni 0.250 0.250 0.500
Ru1 Ru 0.000 0.500 0.000


# 12
# K2BeCu | Alexandria | GGA-PBEsol | optimized geometry
# Formation energy from the elements (eV per formula unit): 2.24
# E_tot (eV per cell): -16.7
data_K2BeCu
_chemical_formula_sum 'K4 Be2 Cu2'
_symmetry_space_group_name_H-M 'I m m 2'
_symmetry_Int_Tables_number 44
_symmetry_space_group_name_Hall 'I 2 -2'
_cell_length_a 4.214
_cell_length_b 5.794
_cell_length_c 9.559
_cell_angle_alpha 90.00
_cell_angle_beta 90.00
_cell_angle_gamma 90.00
loop_
_atom_site_label
_atom_site_type_symbol
_atom_site_fract_x
_atom_site_fract_y
_atom_site_fract_z
K1 K 0.000 0.000 0.000
K2 K 0.000 0.500 0.179
Be1 Be 0.000 0.500 0.814
Cu1 Cu 0.000 0.000 0.359


# 13
# PPt3Rh | Alexandria | GGA-PBEsol | optimized geometry
# Formation energy from the elements (eV per formula unit): 2.64
# E_tot (eV per cell): -32.2
data_PPt3Rh
_chemical_formula_sum 'P1 Pt3 Rh1'
_symmetry_space_group_name_H-M 'P m -3 m'
_symmetry_Int_Tables_number 221
_symmetry_space_group_name_Hall '-P 4 2 3'
_cell_length_a 4.383
_cell_length_b 4.383
_cell_length_c 4.383
_cell_angle_alpha 90.00
_cell_angle_beta 90.00
_cell_angle_gamma 90.00
loop_
_atom_site_label
_atom_site_type_symbol
_atom_site_fract_x
_atom_site_fract_y
_atom_site_fract_z
P1 P 0.000 0.000 0.000
Pt1 Pt 0.000 0.000 0.500
Rh1 Rh 0.500 0.500 0.500


# 14
# ScSnPt | Alexandria | GGA-PBEsol | optimized geometry
# Formation energy from the elements (eV per formula unit): -3.13
# E_tot (eV per cell): -125.8
data_ScSnPt
_chemical_formula_sum 'Sc6 Sn6 Pt6'
_symmetry_space_group_name_H-M 'P -6 2 c'
_symmetry_Int_Tables_number 190
_symmetry_space_group_name_Hall 'P -6c -2c'
_cell_length_a 7.3859
_cell_length_b 7.3859
_cell_length_c 7.2348
_cell_angle_alpha 90.00
_cell_angle_beta 90.00
_cell_angle_gamma 120.00
loop_
_atom_site_label
_atom_site_type_symbol
_atom_site_fract_x
_atom_site_fract_y
_atom_site_fract_z
Sc1 Sc 0.0196 0.4047 0.2500
Sn1 Sn 0.0000 0.7253 0.0000
Pt1 Pt 0.0000 0.0000 0.2500
Pt2 Pt 0.3333 0.6667 0.5393


# 15
# MgMoSN2 | Alexandria | GGA-PBEsol | optimized geometry
# Energy relative to the elements, uncorrected (meV/atom): -190
# E_tot (eV per cell): -35.9
data_MgMoSN2
_chemical_formula_sum 'Mg1 Mo1 S1 N2'
_symmetry_space_group_name_H-M 'P 4/m m m'
_symmetry_Int_Tables_number 123
_symmetry_space_group_name_Hall '-P 4 2'
_cell_length_a 3.841
_cell_length_b 3.841
_cell_length_c 4.957
_cell_angle_alpha 90.00
_cell_angle_beta 90.00
_cell_angle_gamma 90.00
loop_
_atom_site_label
_atom_site_type_symbol
_atom_site_fract_x
_atom_site_fract_y
_atom_site_fract_z
Mg1 Mg 0.000 0.000 0.000
Mo1 Mo 0.500 0.500 0.500
S1 S 0.500 0.500 0.000
N1 N 0.000 0.500 0.500


# 16
# Gd2W4O15 | Alexandria | GGA-PBEsol | optimized geometry
# Energy relative to the elements, uncorrected (meV/atom): -2473
# E_tot (eV per cell): -429.6
data_Gd2W4O15
_chemical_formula_sum 'Gd4 W8 O30'
_symmetry_space_group_name_H-M 'P 1 21/c 1'
_symmetry_Int_Tables_number 14
_symmetry_space_group_name_Hall '-P 2ybc'
_cell_length_a 6.726
_cell_length_b 9.763
_cell_length_c 10.789
_cell_angle_alpha 90.00
_cell_angle_beta 105.59
_cell_angle_gamma 90.00
loop_
_atom_site_label
_atom_site_type_symbol
_atom_site_fract_x
_atom_site_fract_y
_atom_site_fract_z
Gd1 Gd 0.210 0.023 0.276
W1 W 0.083 0.747 0.011
W2 W 0.389 0.097 0.846
O1 O 0.020 0.130 0.395
O2 O 0.122 0.163 0.097
O3 O 0.123 0.058 0.822
O4 O 0.216 0.654 0.917
O5 O 0.260 0.634 0.615
O6 O 0.387 0.221 0.350
O7 O 0.443 0.029 0.706
O8 O 0.500 0.000 0.000


# 17
# CaCrPt2 | Alexandria | GGA-PBEsol | optimized geometry
# Polymorph energy (0 for the lowest one) (eV/atom): 0.2777
# Formation energy from the elements (eV per formula unit): -0.20
# E_tot (eV per cell): -26.5
data_CaCrPt2
_chemical_formula_sum 'Ca1 Cr1 Pt2'
_symmetry_space_group_name_H-M 'P 4 m m'
_symmetry_Int_Tables_number 99
_symmetry_space_group_name_Hall 'P 4 -2'
_cell_length_a 3.435
_cell_length_b 3.435
_cell_length_c 6.119
_cell_angle_alpha 90.00
_cell_angle_beta 90.00
_cell_angle_gamma 90.00
loop_
_atom_site_label
_atom_site_type_symbol
_atom_site_fract_x
_atom_site_fract_y
_atom_site_fract_z
Ca1 Ca 0.000 0.000 0.000
Cr1 Cr 0.500 0.500 0.342
Pt1 Pt 0.000 0.000 0.487
Pt2 Pt 0.500 0.500 0.752


# 18
# Li2VBPO7 | Alexandria | GGA-PBEsol | optimized geometry
# Energy relative to the elements, uncorrected (meV/atom): -2275
# E_tot (eV per cell): -180.8
data_Li2VBPO7
_chemical_formula_sum 'Li4 V2 B2 P2 O14'
_symmetry_space_group_name_H-M 'P 1 21/m 1'
_symmetry_Int_Tables_number 11
_symmetry_space_group_name_Hall '-P 2yb'
_cell_length_a 5.172
_cell_length_b 6.095
_cell_length_c 8.700
_cell_angle_alpha 90.00
_cell_angle_beta 93.08
_cell_angle_gamma 90.00
loop_
_atom_site_label
_atom_site_type_symbol
_atom_site_fract_x
_atom_site_fract_y
_atom_site_fract_z
Li1 Li 0.245 0.027 0.193
V1 V 0.295 0.750 0.677
B1 B 0.244 0.750 0.947
P1 P 0.211 0.250 0.558
O1 O 0.042 0.750 0.828
O2 O 0.082 0.750 0.472
O3 O 0.218 0.750 0.096
O4 O 0.299 0.052 0.659
O5 O 0.349 0.250 0.406
O6 O 0.480 0.750 0.869


# 19
# TiInFeI2 | Alexandria | GGA-PBEsol | optimized geometry
# Energy relative to the elements, uncorrected (meV/atom): 776
# E_tot (eV per cell): -19.9
data_TiInFeI2
_chemical_formula_sum 'Ti1 In1 Fe1 I2'
_symmetry_space_group_name_H-M 'P 4/m m m'
_symmetry_Int_Tables_number 123
_symmetry_space_group_name_Hall '-P 4 2'
_cell_length_a 5.267
_cell_length_b 5.267
_cell_length_c 5.579
_cell_angle_alpha 90.00
_cell_angle_beta 90.00
_cell_angle_gamma 90.00
loop_
_atom_site_label
_atom_site_type_symbol
_atom_site_fract_x
_atom_site_fract_y
_atom_site_fract_z
Ti1 Ti 0.000 0.000 0.000
In1 In 0.000 0.000 0.500
Fe1 Fe 0.500 0.500 0.500
I1 I 0.000 0.500 0.000


# 20
# LiCd2Ag | Alexandria | GGA-PBEsol | optimized geometry
# Polymorph energy (0 for the lowest one) (eV/atom): 0.0316
# Formation energy from the elements (eV per formula unit): -0.76
# E_tot (eV per cell): -8.4
data_LiCd2Ag
_chemical_formula_sum 'Li1 Cd2 Ag1'
_symmetry_space_group_name_H-M 'P m m m'
_symmetry_Int_Tables_number 47
_symmetry_space_group_name_Hall '-P 2 2'
_cell_length_a 3.289
_cell_length_b 3.381
_cell_length_c 6.331
_cell_angle_alpha 90.00
_cell_angle_beta 90.00
_cell_angle_gamma 90.00
loop_
_atom_site_label
_atom_site_type_symbol
_atom_site_fract_x
_atom_site_fract_y
_atom_site_fract_z
Li1 Li 0.000 0.000 0.000
Cd1 Cd 0.500 0.500 0.241
Ag1 Ag 0.000 0.000 0.500